Crystalline MgCu2NiH at its relaxed geometry. Source: the Alexandria database, functional PBE. Values from VASP.

Results
Space-group type: No. 123
D(E_F), states/eV per cell: 2.1
Energy, eV per atom: -3.831

The structure in Quantum ESPRESSO input format:
```
&SYSTEM
  ibrav = 0, nat = 5, ntyp = 4
/
ATOMIC_SPECIES
Mg 24.30 Mg.upf
Cu 63.55 Cu.upf
Ni 58.69 Ni.upf
H 1.01 H.upf
CELL_PARAMETERS angstrom
3.858 0.000 0.000
0.000 3.858 0.000
0.000 0.000 3.628
ATOMIC_POSITIONS angstrom
Mg 0.000 0.000 0.000
Cu 0.000 1.929 1.814
Cu 1.929 0.000 1.814
Ni 1.929 1.929 0.000
H 1.929 1.929 1.814
```